(1)
Here is a relaxed structure of Be3GaI from Alexandria. Energies are from PBE.

Cell lengths 4.5206, 4.5206, 4.5206 Å; angles 90.00, 90.00, 90.00 degrees
Positions (direct):
1 I 0.5000 0.5000 0.5000
2 Be 0.0000 0.5000 0.0000
3 Be 0.0000 0.0000 0.5000
4 Be 0.5000 0.0000 0.0000
5 Ga 0.0000 0.0000 0.0000

Calculated values
Energy above the most stable polymorph in this dataset: 0.00 kcal/mol of atoms
Mass density: 4.02 Mg/m³
Energy relative to the elements, uncorrected: 763 meV/atom
DOS at the Fermi energy: 0.00 states/eV per cell

=====

(2)
Here is a relaxed structure of BeGa3I from Alexandria. Energies are from PBE.

Cell lengths 5.9458, 5.9458, 5.9458 Å; angles 90.00, 90.00, 90.00 degrees
Positions (direct):
1 Ga 0.0000 0.5000 0.0000
2 Ga 0.0000 0.0000 0.5000
3 Ga 0.5000 0.0000 0.0000
4 I 0.0000 0.0000 0.0000
5 Be 0.5000 0.5000 0.5000

Calculated values
Energy above the most stable polymorph in this dataset: 23.73 kcal/mol of atoms
Mass density: 2.73 Mg/m³
Energy relative to the elements, uncorrected: 1150 meV/atom
DOS at the Fermi energy: 3.63 states/eV per cell

=====

(3)
Here is a relaxed structure of BeGaI3 from Alexandria. Energies are from PBE.

Cell lengths 5.3815, 5.3815, 5.3815 Å; angles 90.00, 90.00, 90.00 degrees
Positions (direct):
1 Be 0.0000 0.0000 0.0000
2 I 0.0000 0.5000 0.0000
3 I 0.0000 0.0000 0.5000
4 I 0.5000 0.0000 0.0000
5 Ga 0.5000 0.5000 0.5000

Calculated values
Energy above the most stable polymorph in this dataset: 7.72 kcal/mol of atoms
Mass density: 4.90 Mg/m³
Energy relative to the elements, uncorrected: -96 meV/atom
DOS at the Fermi energy: 0.29 states/eV per cell

=====

(4)
Here is a relaxed structure of BeGa2I4 from Alexandria. Energies are from PBE.

Cell lengths 6.6441, 6.6420, 8.8257 Å; angles 118.64, 118.65, 95.95 degrees
Positions (direct):
1 Be 0.0362 0.0363 0.0103
2 Ga 0.6138 0.1256 0.4210
3 Ga 0.1251 0.6133 0.4207
4 I 0.0392 0.0391 0.2960
5 I 0.0938 0.6738 0.8175
6 I 0.6739 0.0941 0.8176
7 I 0.4179 0.4181 0.2173

Calculated values
Mass density: 4.03 Mg/m³
Energy relative to the elements, uncorrected: -398 meV/atom
DOS at the Fermi energy: 0.00 states/eV per cell

=====

(5)
Here is a relaxed structure of BeGaI3 from Alexandria. Energies are from PBE.

Cell lengths 4.1273, 7.0002, 14.1522 Å; angles 104.32, 90.00, 90.00 degrees
Positions (direct):
1 Ga 0.2500 0.0320 0.6565
2 Ga 0.7500 0.3755 0.3435
3 Be 0.2500 0.7673 0.2401
4 Be 0.7500 0.5273 0.7599
5 I 0.2500 0.7567 0.4069
6 I 0.7500 0.5790 0.1610
7 I 0.7500 0.8758 0.7989
8 I 0.2500 0.0769 0.2011
9 I 0.7500 0.3498 0.5931
10 I 0.2500 0.4180 0.8390

Calculated values
Energy above the most stable polymorph in this dataset: 0.00 kcal/mol of atoms
Mass density: 3.85 Mg/m³
Energy relative to the elements, uncorrected: -431 meV/atom
DOS at the Fermi energy: 0.00 states/eV per cell

=====

(6)
Here is a relaxed structure of BeGaI2 from Alexandria. Energies are from PBE.

Cell lengths 7.2524, 7.2524, 7.2255 Å; angles 59.88, 59.88, 90.00 degrees
Positions (direct):
1 I 0.2287 0.6250 0.2500
2 I 0.8750 0.7713 0.7500
3 I 0.5213 0.1250 0.2500
4 I 0.3750 0.4787 0.7500
5 Ga 0.7500 0.2500 0.5000
6 Ga 0.0000 0.0000 0.0000
7 Be 0.5000 0.5000 0.0000
8 Be 0.2500 0.7500 0.5000

Calculated values
Energy above the most stable polymorph in this dataset: 0.00 kcal/mol of atoms
Mass density: 4.13 Mg/m³
Energy relative to the elements, uncorrected: 148 meV/atom
DOS at the Fermi energy: 2.40 states/eV per cell